[1]
# PBE-GGA PaZnMo, optimized geometry
data_PaZnMo
_chemical_formula_sum 'Pa4 Zn4 Mo4'
_space_group_name_H-M_alt 'P 1'
_space_group_IT_number 1
_cell_length_a 6.430
_cell_length_b 6.430
_cell_length_c 6.430
_cell_angle_alpha 90.00
_cell_angle_beta 90.00
_cell_angle_gamma 90.00
loop_
_space_group_symop_operation_xyz
'x,y,z'
loop_
_atom_site_label
_atom_site_type_symbol
_atom_site_fract_x
_atom_site_fract_y
_atom_site_fract_z
Pa1 Pa 0.000 0.000 0.000
Pa2 Pa 0.000 0.500 0.500
Pa3 Pa 0.500 0.000 0.500
Pa4 Pa 0.500 0.500 0.000
Zn1 Zn 0.250 0.250 0.250
Zn2 Zn 0.250 0.750 0.750
Zn3 Zn 0.750 0.250 0.750
Zn4 Zn 0.750 0.750 0.250
Mo1 Mo 0.250 0.250 0.750
Mo2 Mo 0.250 0.750 0.250
Mo3 Mo 0.750 0.250 0.250
Mo4 Mo 0.750 0.750 0.750
# **DFT formation energy**: 1.021 eV per atom
# **Energy above the most stable polymorph in this dataset**: 564 meV/atom
# **Uncorrected energy**: -6.182 eV per atom

***

[2]
# PBE-GGA Mo2Pb, optimized geometry
data_Mo2Pb
_chemical_formula_sum 'Mo4 Pb2'
_space_group_name_H-M_alt 'P 1'
_space_group_IT_number 1
_cell_length_a 8.976
_cell_length_b 8.976
_cell_length_c 8.976
_cell_angle_alpha 60.00
_cell_angle_beta 60.00
_cell_angle_gamma 60.00
loop_
_space_group_symop_operation_xyz
'x,y,z'
loop_
_atom_site_label
_atom_site_type_symbol
_atom_site_fract_x
_atom_site_fract_y
_atom_site_fract_z
Mo1 Mo 0.000 0.000 0.000
Mo2 Mo 0.000 0.000 0.500
Mo3 Mo 0.000 0.500 0.000
Mo4 Mo 0.500 0.000 0.000
Pb1 Pb 0.125 0.125 0.125
Pb2 Pb 0.875 0.875 0.875
# **Energy above the most stable polymorph in this dataset**: 2809 meV/atom
# **Uncorrected energy**: -5.004 eV per atom

***

[3]
# PBE-GGA Mo2PdPb, optimized geometry
data_Mo2PdPb
_chemical_formula_sum 'Mo8 Pd4 Pb4'
_space_group_name_H-M_alt 'P 1'
_space_group_IT_number 1
_cell_length_a 6.556
_cell_length_b 6.556
_cell_length_c 6.556
_cell_angle_alpha 90.00
_cell_angle_beta 90.00
_cell_angle_gamma 90.00
loop_
_space_group_symop_operation_xyz
'x,y,z'
loop_
_atom_site_label
_atom_site_type_symbol
_atom_site_fract_x
_atom_site_fract_y
_atom_site_fract_z
Mo1 Mo 0.000 0.000 0.000
Mo2 Mo 0.000 0.500 0.500
Mo3 Mo 0.250 0.250 0.250
Mo4 Mo 0.250 0.750 0.750
Mo5 Mo 0.500 0.000 0.500
Mo6 Mo 0.500 0.500 0.000
Mo7 Mo 0.750 0.250 0.750
Mo8 Mo 0.750 0.750 0.250
Pd1 Pd 0.250 0.250 0.750
Pd2 Pd 0.250 0.750 0.250
Pd3 Pd 0.750 0.250 0.250
Pd4 Pd 0.750 0.750 0.750
Pb1 Pb 0.000 0.000 0.500
Pb2 Pb 0.000 0.500 0.000
Pb3 Pb 0.500 0.000 0.000
Pb4 Pb 0.500 0.500 0.500
# **Uncorrected energy**: -7.137 eV per atom

***

Calculated volume readings, ordered: 66.5 255.7 70.5 Å³/f.u.